The following is a PBE calculation of ThCd2Ag2Hg2 after structural relaxation, from the Alexandria database.

Geometry as POSCAR:
```
ThCd2Ag2Hg2
1.0
4.801 0.000 0.000
2.401 4.158 0.000
2.401 1.386 8.069
Ag Cd Hg Th
2 2 2 1
Cartesian
4.801 2.772 5.639
4.801 2.772 2.429
2.401 1.386 4.667
7.202 4.158 3.402
7.202 4.158 6.520
2.401 1.386 1.549
0.000 0.000 0.000
```

- M_tot (μB per atom) = 0.000
- DFT formation energy (meV per atom) = -92
- energy (eV/atom) = -2.314